1.
{
  "formula": "SiIr2RuSe",
  "functional": "GGA-PBE",
  "state": "optimized geometry",
  "cell": [[4.7489, 0.0000, 0.0000], [0.0000, 4.7489, 0.0000], [0.0000, 0.0000, 4.6595]],
  "species": ["Si", "Ir", "Ir", "Ru", "Se"],
  "frac_coords": [[0.0000, 0.0000, 0.0000], [0.0000, 0.5000, 0.5000], [0.5000, 0.0000, 0.5000], [0.5000, 0.5000, 0.5000], [0.5000, 0.5000, 0.0000]],
  "crystal_system": "tetragonal",
  "magmom_total_mub_per_fu": 0.0,
  "space_group": "P4/mmm, No. 123",
  "e_tot_ev_per_cell": -28.398
}

---

2.
{
  "formula": "K2In6Ag3",
  "functional": "GGA-PBE",
  "state": "optimized geometry",
  "cell": [[8.6468, 0.0000, 0.0000], [-4.3234, 7.4884, 0.0000], [0.0000, 0.0000, 4.8046]],
  "species": ["K", "K", "In", "In", "In", "In", "In", "In", "Ag", "Ag", "Ag"],
  "frac_coords": [[0.3333, 0.6667, 0.0000], [0.6667, 0.3333, 0.0000], [0.0000, 0.2021, 0.0000], [0.0000, 0.7019, 0.5000], [0.2021, 0.0000, 0.0000], [0.2981, 0.2981, 0.5000], [0.7019, 0.0000, 0.5000], [0.7979, 0.7979, 0.0000], [0.0000, 0.3749, 0.5000], [0.3749, 0.0000, 0.5000], [0.6251, 0.6251, 0.5000]],
  "crystal_system": "hexagonal",
  "magmom_total_mub_per_fu": 0.0,
  "space_group": "P-62m, No. 189",
  "e_tot_ev_per_cell": -28.026
}

---

3.
{
  "formula": "La4PmPr8",
  "functional": "GGA-PBE",
  "state": "optimized geometry",
  "cell": [[5.9970, 3.4624, 3.9675], [-5.9970, 3.4624, 3.9675], [0.0000, -6.9247, 3.9675]],
  "species": ["La", "La", "La", "La", "Pm", "Pr", "Pr", "Pr", "Pr", "Pr", "Pr", "Pr", "Pr"],
  "frac_coords": [[0.0000, 0.0000, 0.0000], [0.0000, 0.5000, 0.5000], [0.5000, 0.0000, 0.5000], [0.5000, 0.5000, 0.0000], [0.5000, 0.5000, 0.5000], [0.1635, 0.1635, 0.6690], [0.1635, 0.6690, 0.1635], [0.2405, 0.2405, 0.2405], [0.3310, 0.8365, 0.8365], [0.6690, 0.1635, 0.1635], [0.7595, 0.7595, 0.7595], [0.8365, 0.3310, 0.8365], [0.8365, 0.8365, 0.3310]],
  "crystal_system": "trigonal",
  "magmom_total_mub_per_fu": 0.0,
  "space_group": "R-3m, No. 166",
  "e_tot_ev_per_cell": -58.175
}

---

4.
{
  "formula": "FePd2Pt3",
  "functional": "GGA-PBE",
  "state": "optimized geometry",
  "cell": [[1.9634, -5.9055, 0.0000], [1.9634, 5.9055, 0.0000], [0.0000, 0.0000, 7.8018]],
  "species": ["Fe", "Fe", "Pd", "Pd", "Pd", "Pd", "Pt", "Pt", "Pt", "Pt", "Pt", "Pt"],
  "frac_coords": [[0.1628, 0.8372, 0.0000], [0.8372, 0.1628, 0.0000], [0.1686, 0.8314, 0.5000], [0.5000, 0.5000, 0.0000], [0.5000, 0.5000, 0.5000], [0.8314, 0.1686, 0.5000], [0.0000, 0.0000, 0.2452], [0.0000, 0.0000, 0.7548], [0.3303, 0.6697, 0.2341], [0.3303, 0.6697, 0.7659], [0.6697, 0.3303, 0.2341], [0.6697, 0.3303, 0.7659]],
  "polymorph_energy_mev_per_atom": 0,
  "crystal_system": "orthorhombic",
  "magmom_total_mub_per_fu": 4.7,
  "space_group": "Cmmm, No. 65",
  "e_tot_ev_per_cell": -75.755
}

---

5.
{
  "formula": "Ac3SnAs2Pd9",
  "functional": "GGA-PBE",
  "state": "optimized geometry",
  "cell": [[6.6050, 0.0000, 0.0000], [-3.3025, 5.7201, 0.0000], [0.0000, 0.0000, 9.2791]],
  "species": ["Ac", "Ac", "Ac", "Sn", "As", "As", "Pd", "Pd", "Pd", "Pd", "Pd", "Pd", "Pd", "Pd", "Pd"],
  "frac_coords": [[0.0000, 0.0000, 0.0000], [0.3333, 0.6667, 0.6841], [0.6667, 0.3333, 0.3159], [0.0000, 0.0000, 0.5000], [0.3333, 0.6667, 0.1691], [0.6667, 0.3333, 0.8309], [0.0000, 0.5000, 0.0000], [0.1457, 0.2915, 0.2806], [0.1457, 0.8543, 0.2806], [0.2915, 0.1457, 0.7194], [0.5000, 0.0000, 0.0000], [0.5000, 0.5000, 0.0000], [0.7085, 0.8543, 0.2806], [0.8543, 0.1457, 0.7194], [0.8543, 0.7085, 0.7194]],
  "crystal_system": "trigonal",
  "magmom_total_mub_per_fu": 0.0,
  "space_group": "P-3m1, No. 164",
  "e_tot_ev_per_cell": -82.122
}

---

6.
{
  "formula": "TeW2Cl",
  "functional": "GGA-PBE",
  "state": "optimized geometry",
  "cell": [[2.9674, 0.0000, 0.0000], [0.0000, 4.5530, 0.0000], [0.0000, 0.0000, 5.5744]],
  "species": ["Te", "W", "W", "Cl"],
  "frac_coords": [[0.0000, 0.0000, 0.0000], [0.0000, 0.5000, 0.5000], [0.5000, 0.5000, 0.0000], [0.5000, 0.0000, 0.5000]],
  "polymorph_energy_mev_per_atom": 1124,
  "crystal_system": "orthorhombic",
  "magmom_total_mub_per_fu": 0.7,
  "space_group": "Pmmm, No. 47",
  "e_tot_ev_per_cell": -26.057
}

---

Copy entry 6 word for word.
{
  "formula": "TeW2Cl",
  "functional": "GGA-PBE",
  "state": "optimized geometry",
  "cell": [[2.9674, 0.0000, 0.0000], [0.0000, 4.5530, 0.0000], [0.0000, 0.0000, 5.5744]],
  "species": ["Te", "W", "W", "Cl"],
  "frac_coords": [[0.0000, 0.0000, 0.0000], [0.0000, 0.5000, 0.5000], [0.5000, 0.5000, 0.0000], [0.5000, 0.0000, 0.5000]],
  "polymorph_energy_mev_per_atom": 1124,
  "crystal_system": "orthorhombic",
  "magmom_total_mub_per_fu": 0.7,
  "space_group": "Pmmm, No. 47",
  "e_tot_ev_per_cell": -26.057
}